Record 1
## NaLaTe2N (PBE-GGA)

Data for crystalline NaLaTe2N at its relaxed geometry.

The structure in CIF format:
```
data_NaLaTe2N
_chemical_formula_sum 'Na1 La1 Te2 N1'
_cell_length_a 5.646
_cell_length_b 5.646
_cell_length_c 4.382
_cell_angle_alpha 90.00
_cell_angle_beta 90.00
_cell_angle_gamma 90.00
_symmetry_space_group_name_H-M 'P 4/m m m'
_symmetry_Int_Tables_number 123
_symmetry_space_group_name_Hall '-P 4 2'
loop_
_atom_site_label
_atom_site_type_symbol
_atom_site_fract_x
_atom_site_fract_y
_atom_site_fract_z
Na1 Na 0.000 0.000 0.000
La1 La 0.500 0.500 0.500
Te1 Te 0.000 0.500 0.000
N1 N 0.000 0.000 0.500
```

Output
Distance to the lowest polymorph of the same formula, eV per atom: 0.3597

***

Record 2
## P3BrCl (PBE-GGA)

Data for crystalline P3BrCl at its relaxed geometry.

The structure in CIF format:
```
data_P3BrCl
_chemical_formula_sum 'P3 Br1 Cl1'
_cell_length_a 4.760
_cell_length_b 4.760
_cell_length_c 4.760
_cell_angle_alpha 90.00
_cell_angle_beta 90.00
_cell_angle_gamma 90.00
_symmetry_space_group_name_H-M 'P m -3 m'
_symmetry_Int_Tables_number 221
_symmetry_space_group_name_Hall '-P 4 2 3'
loop_
_atom_site_label
_atom_site_type_symbol
_atom_site_fract_x
_atom_site_fract_y
_atom_site_fract_z
P1 P 0.000 0.000 0.500
Br1 Br 0.500 0.500 0.500
Cl1 Cl 0.000 0.000 0.000
```

Output
Distance to the lowest polymorph of the same formula, eV per atom: 0.0000

***

Record 3
## PmNpS2 (PBE-GGA)

Data for crystalline PmNpS2 at its relaxed geometry.

The structure in CIF format:
```
data_PmNpS2
_chemical_formula_sum 'Pm2 Np2 S4'
_cell_length_a 3.9487
_cell_length_b 3.9487
_cell_length_c 13.1601
_cell_angle_alpha 90.00
_cell_angle_beta 90.00
_cell_angle_gamma 120.00
_symmetry_space_group_name_H-M 'P 63/m m c'
_symmetry_Int_Tables_number 194
_symmetry_space_group_name_Hall '-P 6c 2c'
loop_
_atom_site_label
_atom_site_type_symbol
_atom_site_fract_x
_atom_site_fract_y
_atom_site_fract_z
Pm1 Pm 0.3333 0.6667 0.2500
Np1 Np 0.0000 0.0000 0.0000
S1 S 0.3333 0.6667 0.6175
```

Output
Distance to the lowest polymorph of the same formula, eV per atom: 0.0225

***

Which electronic total energy belongs to each record? In order, -4.013, -2.414, -8.172 eV/atom.
Which formation energy without anion corrections belongs to each record? In order, 0.159, 1.536, -1.686 eV/atom.